(1)
Below is crystalline Pr12Y7Er at its relaxed geometry, with properties calculated at the PBE level.

Properties
* crystal system: trigonal
* magnetization: 0.0000 μB/atom
* mass density: 5.73 Mg/m³

Cell lengths 11.2390, 11.2390, 11.2390 Å; angles 115.97, 115.97, 115.97 degrees
Fractional coordinates of all 20 atoms:
Pr  0.0787  0.4984  0.2896
Pr  0.2067  0.2731  0.7492
Pr  0.2508  0.7933  0.7269
Pr  0.2731  0.7492  0.2067
Pr  0.2896  0.0787  0.4984
Pr  0.4984  0.2896  0.0787
Pr  0.5016  0.7104  0.9213
Pr  0.7104  0.9213  0.5016
Pr  0.7269  0.2508  0.7933
Pr  0.7492  0.2067  0.2731
Pr  0.7933  0.7269  0.2508
Pr  0.9213  0.5016  0.7104
Y  0.0722  0.2116  0.3725
Y  0.2116  0.3725  0.0722
Y  0.3725  0.0722  0.2116
Y  0.5000  0.5000  0.5000
Y  0.6275  0.9278  0.7884
Y  0.7884  0.6275  0.9278
Y  0.9278  0.7884  0.6275
Er  0.0000  0.0000  0.0000



(2)
Below is crystalline Pr12Y7Er at its relaxed geometry, with properties calculated at the PBE level.

Properties
* crystal system: trigonal
* magnetization: 0.0000 μB/atom
* mass density: 5.86 Mg/m³

Cell lengths 8.8946, 8.8946, 8.8946 Å; angles 88.77, 88.77, 88.77 degrees
Fractional coordinates of all 20 atoms:
Pr  0.0112  0.8868  0.3590
Pr  0.1132  0.6410  0.9888
Pr  0.2268  0.3561  0.7614
Pr  0.2386  0.7732  0.6439
Pr  0.3561  0.7614  0.2268
Pr  0.3590  0.0112  0.8868
Pr  0.6410  0.9888  0.1132
Pr  0.6439  0.2386  0.7732
Pr  0.7614  0.2268  0.3561
Pr  0.7732  0.6439  0.2386
Pr  0.8868  0.3590  0.0112
Pr  0.9888  0.1132  0.6410
Y  0.0000  0.0000  0.0000
Y  0.1151  0.4351  0.3529
Y  0.3529  0.1151  0.4351
Y  0.4351  0.3529  0.1151
Y  0.5649  0.6471  0.8849
Y  0.6471  0.8849  0.5649
Y  0.8849  0.5649  0.6471
Er  0.5000  0.5000  0.5000



Most stable: (2). Least stable: (1).



(1)
Below is crystalline Pr2Y5Er2 at its relaxed geometry, with properties calculated at the PBE level.

Properties
* crystal system: monoclinic
* magnetization: 0.0000 μB/atom
* mass density: 5.84 Mg/m³

Cell lengths 10.2906, 10.2906, 8.7031 Å; angles 101.43, 101.43, 19.53 degrees
Fractional coordinates of all 9 atoms:
Pr  0.1024  0.1024  0.3322
Pr  0.8976  0.8976  0.6678
Y  0.2803  0.2803  0.3509
Y  0.4432  0.4432  0.3312
Y  0.5000  0.5000  0.0000
Y  0.5568  0.5568  0.6688
Y  0.7197  0.7197  0.6491
Er  0.3216  0.3216  0.9705
Er  0.6784  0.6784  0.0295



(2)
Below is crystalline Pr2Y5Er2 at its relaxed geometry, with properties calculated at the PBE level.

Properties
* crystal system: orthorhombic
* magnetization: 0.0000 μB/atom
* mass density: 5.83 Mg/m³

Cell lengths 10.1435, 10.1435, 10.1435 Å; angles 84.71, 108.44, 140.87 degrees
Fractional coordinates of all 18 atoms:
Pr  0.0000  0.0000  0.0000
Pr  0.0000  0.5000  0.5000
Pr  0.0896  0.8484  0.7412
Pr  0.1072  0.3484  0.2588
Y  0.1213  0.0289  0.3774
Y  0.1213  0.2438  0.5923
Y  0.1404  0.6378  0.0026
Y  0.4373  0.1411  0.1913
Y  0.4373  0.7460  0.7962
Y  0.6352  0.1378  0.9974
Y  0.6515  0.5289  0.4077
Y  0.6515  0.7438  0.6226
Y  0.9498  0.2460  0.8087
Y  0.9498  0.6411  0.2038
Er  0.5444  0.6750  0.1233
Er  0.5444  0.9211  0.3694
Er  0.5517  0.1750  0.6306
Er  0.5517  0.4211  0.8767



Most stable: (1). Least stable: (2).



(1)
Below is crystalline Pr6YEr2 at its relaxed geometry, with properties calculated at the PBE level.

Properties
* crystal system: monoclinic
* magnetization: 0.0000 μB/atom
* mass density: 6.80 Mg/m³

Cell lengths 6.7961, 6.7961, 10.6049 Å; angles 121.08, 121.08, 50.39 degrees
Fractional coordinates of all 9 atoms:
Pr  0.0534  0.0534  0.3849
Pr  0.2767  0.2767  0.9513
Pr  0.3316  0.3316  0.3381
Pr  0.6684  0.6684  0.6619
Pr  0.7233  0.7233  0.0487
Pr  0.9466  0.9466  0.6151
Y  0.0000  0.0000  0.0000
Er  0.3876  0.3876  0.7301
Er  0.6124  0.6124  0.2699



(2)
Below is crystalline Pr6YEr2 at its relaxed geometry, with properties calculated at the PBE level.

Properties
* crystal system: orthorhombic
* magnetization: 0.0000 μB/atom
* mass density: 6.75 Mg/m³

Cell lengths 10.1041, 10.1041, 3.6920 Å; angles 90.00, 90.00, 124.04 degrees
Fractional coordinates of all 9 atoms:
Pr  0.0102  0.3414  0.0000
Pr  0.1825  0.1825  0.5000
Pr  0.3414  0.0102  0.0000
Pr  0.6586  0.9898  0.0000
Pr  0.8175  0.8175  0.5000
Pr  0.9898  0.6586  0.0000
Y  0.5000  0.5000  0.0000
Er  0.3235  0.6765  0.5000
Er  0.6765  0.3235  0.5000



Most stable: (1). Least stable: (2).



(1)
Below is crystalline Pr4YEr at its relaxed geometry, with properties calculated at the PBE level.

Properties
* crystal system: trigonal
* magnetization: 0.0001 μB/atom
* mass density: 6.41 Mg/m³

Cell lengths 7.6176, 7.6176, 7.6176 Å; angles 46.50, 46.50, 46.50 degrees
Fractional coordinates of all 6 atoms:
Pr  0.1641  0.1641  0.1641
Pr  0.3331  0.3331  0.3331
Pr  0.6669  0.6669  0.6669
Pr  0.8359  0.8359  0.8359
Y  0.5000  0.5000  0.5000
Er  0.0000  0.0000  0.0000



(2)
Below is crystalline Pr4YEr at its relaxed geometry, with properties calculated at the PBE level.

Properties
* crystal system: orthorhombic
* magnetization: 0.0001 μB/atom
* mass density: 5.54 Mg/m³

Cell lengths 11.8196, 11.8412, 3.5100 Å; angles 90.00, 90.00, 90.00 degrees
Fractional coordinates of all 12 atoms:
Pr  0.0000  0.2410  0.0000
Pr  0.0000  0.7590  0.0000
Pr  0.2381  0.5000  0.5000
Pr  0.2619  0.0000  0.5000
Pr  0.5000  0.2590  0.0000
Pr  0.5000  0.7410  0.0000
Pr  0.7381  0.0000  0.5000
Pr  0.7619  0.5000  0.5000
Y  0.0000  0.0000  0.5000
Y  0.5000  0.5000  0.5000
Er  0.0000  0.5000  0.0000
Er  0.5000  0.0000  0.0000



Most stable: (1). Least stable: (2).